(1)
The following is a DFT calculation (PBE with a Hubbard U) of a geometry-optimized BaNaCr2F9 structure.

Properties
size of the total moment: 6.00 μB per formula unit
raw total energy: -299.43 eV for the cell shown

Unit cell a=17.6659 b=5.5293 c=9.1451 alpha=54.38 beta=90.00 gamma=90.00
Last column: nearest neighbours and their distance in Å.
Atoms (fractional coordinates):
F 0.4244 0.5851 0.5023  2 Cr 1.99-2.01
F 0.9182 0.1707 0.3608  1 Cr 1.91
Na 0.4594 0.4366 0.8109  3 F 2.26-2.51
F 0.7920 0.6195 0.0621  1 Cr 1.92
F 0.5318 0.9995 0.2534  2 Cr 1.98
F 0.8355 0.7886 0.7251  1 Cr 1.92
F 0.6875 0.9904 0.7145  1 Cr 1.91
F 0.9244 0.4149 0.9977  2 Cr 1.99-2.01
Cr 0.6216 0.8101 0.4098  6 F 1.91-2.01
F 0.2080 0.3805 0.9379  1 Cr 1.92
F 0.0818 0.8293 0.6392  1 Cr 1.91
F 0.2920 0.3805 0.4379  1 Cr 1.92
Cr 0.4200 0.9920 0.2743  6 F 1.91-1.99
F 0.5675 0.8220 0.5951  2 Cr 1.98-1.99
F 0.1645 0.2114 0.2749  1 Cr 1.92
F 0.8365 0.1975 0.8016  1 Cr 1.91
Na 0.5406 0.5634 0.1891  3 F 2.26-2.51
F 0.4682 0.0005 0.7466  2 Cr 1.98
Cr 0.0800 0.9920 0.7743  6 F 1.91-1.99
F 0.0756 0.5851 0.0023  2 Cr 1.99-2.01
Ba 0.2152 0.6558 0.5684  9 F 2.75-2.95
F 0.4182 0.8293 0.1392  1 Cr 1.91
Ba 0.7152 0.3442 0.9316  9 F 2.75-2.95
F 0.0318 0.0005 0.2466  2 Cr 1.98
Cr 0.9200 0.0080 0.2257  6 F 1.91-1.99
F 0.5818 0.1707 0.8608  1 Cr 1.91
F 0.7080 0.6195 0.5621  1 Cr 1.92
Ba 0.2848 0.6558 0.0684  9 F 2.75-2.95
F 0.6635 0.1975 0.3016  1 Cr 1.91
F 0.4175 0.3889 0.0598  1 Cr 1.91
F 0.3355 0.2114 0.7749  1 Cr 1.92
Cr 0.3784 0.1899 0.5902  6 F 1.91-2.01
Cr 0.5800 0.0080 0.7257  6 F 1.91-1.99
F 0.9175 0.6111 0.4402  1 Cr 1.91
F 0.3365 0.8025 0.6984  1 Cr 1.91
Ba 0.7848 0.3442 0.4316  9 F 2.75-2.95
F 0.1875 0.0096 0.7855  1 Cr 1.91
Na 0.9594 0.5634 0.6891  3 F 2.26-2.51
F 0.4325 0.1780 0.4049  2 Cr 1.98-1.99
F 0.9682 0.9995 0.7534  2 Cr 1.98
F 0.0675 0.1780 0.9049  2 Cr 1.98-1.99
Cr 0.1216 0.1899 0.0902  6 F 1.91-2.01
Na 0.0406 0.4366 0.3109  3 F 2.26-2.51
F 0.3125 0.0096 0.2855  1 Cr 1.91
F 0.0825 0.3889 0.5598  1 Cr 1.91
Cr 0.8784 0.8101 0.9098  6 F 1.91-2.01
F 0.5756 0.4149 0.4977  2 Cr 1.99-2.01
F 0.5825 0.6111 0.9402  1 Cr 1.91
F 0.8125 0.9904 0.2145  1 Cr 1.91
F 0.6645 0.7886 0.2251  1 Cr 1.92
F 0.9325 0.8220 0.0951  2 Cr 1.98-1.99
F 0.1635 0.8025 0.1984  1 Cr 1.91

(2)
The following is a DFT calculation (PBE with a Hubbard U) of a geometry-optimized BaNbCr2F structure.

Properties
size of the total moment: 6.25 μB per formula unit
raw total energy: -25.12 eV for the cell shown

Unit cell a=6.1199 b=4.5954 c=6.1199 alpha=90.00 beta=90.00 gamma=90.00
Last column: nearest neighbours and their distance in Å.
Atoms (fractional coordinates):
Cr 0.5000 0.0000 0.0000  2 Ba 3.06
F 0.0000 0.5000 0.0000  2 Ba 2.30
Cr 0.0000 0.0000 0.5000  2 Ba 3.06
Nb 0.5000 0.5000 0.5000  8 Cr 3.83
Ba 0.0000 0.0000 0.0000  2 F 2.30

(3)
The following is a DFT calculation (PBE with a Hubbard U) of a geometry-optimized BaNbCrF2 structure.

Properties
size of the total moment: 1.88 μB per formula unit
raw total energy: -24.61 eV for the cell shown

Unit cell a=4.3245 b=4.3245 c=5.3250 alpha=90.00 beta=90.00 gamma=90.00
Last column: nearest neighbours and their distance in Å.
Atoms (fractional coordinates):
F 0.5000 0.0000 0.0000  2 Cr 2.16
Nb 0.0000 0.0000 0.5000  2 Cr 2.66
Ba 0.5000 0.5000 0.5000  4 Nb 3.06
Cr 0.0000 0.0000 0.0000  4 F 2.16
F 0.0000 0.5000 0.0000  2 Cr 2.16